EuPuPbAu | PBE | optimized geometry

Unit cell a=7.644 b=7.644 c=7.644 alpha=90.00 beta=90.00 gamma=90.00
Space group F-43m (No. 216)
One atom of each set of equivalent atoms:
Eu1 0.000 0.000 0.000 x4
Pu1 0.000 0.000 0.500 x4
Pb1 0.250 0.250 0.250 x4
Au1 0.250 0.250 0.750 x4

Values from the calculation:
Crystal system: cubic
Formation energy in eV per atom: -0.401

ScCdOs | PBE | optimized geometry

Unit cell a=3.371 b=3.371 c=9.696 alpha=90.00 beta=90.00 gamma=90.00
Space group I4mm (No. 107)
One atom of each set of equivalent atoms:
Sc1 0.000 0.000 0.000 x2
Cd1 0.000 0.000 0.694 x2
Os1 0.000 0.000 0.362 x2

Values from the calculation:
Crystal system: tetragonal
Energy above the most stable polymorph in this dataset in kJ/mol of formula units: 0.0
Formation energy in eV per atom: -0.023

Dy10In3Sb3 | PBE | optimized geometry

Unit cell a=8.9645 b=8.9645 c=6.5407 alpha=90.00 beta=90.00 gamma=120.00
Space group P-62m (No. 189)
One atom of each set of equivalent atoms:
Dy1 0.0000 0.2378 0.0000 x3
Dy2 0.0000 0.7636 0.5000 x3
Dy3 0.3333 0.6667 0.2520 x4
In1 0.0000 0.3960 0.5000 x3
Sb1 0.0000 0.6056 0.0000 x3

Values from the calculation:
Uncorrected formation energy in eV per atom: -0.67
Crystal system: hexagonal

Mn5Cr2GeMo2 | PBE | optimized geometry

Unit cell a=9.374 b=9.374 c=2.875 alpha=90.00 beta=90.00 gamma=90.00
Space group P4/mbm (No. 127)
One atom of each set of equivalent atoms:
Mn1 0.000 0.500 0.000 x2
Mn2 0.045 0.203 0.000 x8
Cr1 0.133 0.367 0.500 x4
Ge1 0.000 0.000 0.500 x2
Mo1 0.180 0.680 0.500 x4

Values from the calculation:
Crystal system: tetragonal
Formation energy in eV per atom: 0.244